# Nd3ZnIn2

A geometry-optimized Nd3ZnIn2 structure (PBE, the Alexandria database).

Results
As for the calculated formation energy: -435 meV per atom. Its volume is 27.8 Å³ per atom. The value obtained for the density of states at the Fermi level is 4.656 states/eV/f.u. For the total energy, the calculation gives -23.66 eV/f.u.

CIF file:
```
data_Nd3ZnIn2
_chemical_formula_sum 'Nd3 Zn1 In2'
_space_group_name_H-M_alt 'P 4/m m m'
_space_group_IT_number 123
_space_group_name_Hall '-P 4 2'
_cell_length_a 3.745
_cell_length_b 3.745
_cell_length_c 11.886
_cell_angle_alpha 90.00
_cell_angle_beta 90.00
_cell_angle_gamma 90.00
loop_
_atom_site_label
_atom_site_type_symbol
_atom_site_fract_x
_atom_site_fract_y
_atom_site_fract_z
Nd1 Nd 0.000 0.000 0.000
Nd2 Nd 0.000 0.000 0.350
Zn1 Zn 0.500 0.500 0.500
In1 In 0.500 0.500 0.177
```

# LiCuAg2

A geometry-optimized LiCuAg2 structure (PBE, the Alexandria database).

Results
As for the calculated formation energy: 23 meV per atom. Its volume is 15.9 Å³ per atom. The value obtained for the density of states at the Fermi level is 1.529 states/eV/f.u. For the total energy, the calculation gives -11.62 eV/f.u.

CIF file:
```
data_LiCuAg2
_chemical_formula_sum 'Li3 Cu3 Ag6'
_space_group_name_H-M_alt 'R -3 m'
_space_group_IT_number 166
_space_group_name_Hall '-R 3 2"'
_cell_length_a 2.9096
_cell_length_b 2.9096
_cell_length_c 26.0318
_cell_angle_alpha 90.00
_cell_angle_beta 90.00
_cell_angle_gamma 120.00
loop_
_atom_site_label
_atom_site_type_symbol
_atom_site_fract_x
_atom_site_fract_y
_atom_site_fract_z
Li1 Li 0.0000 0.0000 0.0000
Cu1 Cu 0.0000 0.0000 0.5000
Ag1 Ag 0.0000 0.0000 0.2484
```

# Ag2AsP

A geometry-optimized Ag2AsP structure (PBE, the Alexandria database).

Results
As for the calculated formation energy: 370 meV per atom. Its volume is 18.0 Å³ per atom. The value obtained for the density of states at the Fermi level is 1.754 states/eV/f.u. For the total energy, the calculation gives -14.28 eV/f.u. The energy above the most stable polymorph in this dataset comes out at 181 meV/atom.

CIF file:
```
data_Ag2AsP
_chemical_formula_sum 'Ag4 As2 P2'
_space_group_name_H-M_alt 'I -4 m 2'
_space_group_IT_number 119
_space_group_name_Hall 'I -4 -2'
_cell_length_a 4.093
_cell_length_b 4.093
_cell_length_c 8.593
_cell_angle_alpha 90.00
_cell_angle_beta 90.00
_cell_angle_gamma 90.00
loop_
_atom_site_label
_atom_site_type_symbol
_atom_site_fract_x
_atom_site_fract_y
_atom_site_fract_z
Ag1 Ag 0.000 0.000 0.000
Ag2 Ag 0.000 0.500 0.250
As1 As 0.000 0.500 0.750
P1 P 0.000 0.000 0.500
```

# Ce2Be4Si3Ni

A geometry-optimized Ce2Be4Si3Ni structure (PBE, the Alexandria database).

Results
As for the formation energy from raw total energies: -0.45 eV/atom. Its volume is 14.5 Å³ per atom. The value obtained for the density of states at the Fermi level is 7.736 states/eV/f.u. For the total energy, the calculation gives -53.29 eV/f.u.

CIF file:
```
data_Ce2Be4Si3Ni
_chemical_formula_sum 'Ce2 Be4 Si3 Ni1'
_space_group_name_H-M_alt 'P -4 m 2'
_space_group_IT_number 115
_cell_length_a 3.918
_cell_length_b 3.918
_cell_length_c 9.427
_cell_angle_alpha 90.00
_cell_angle_beta 90.00
_cell_angle_gamma 90.00
loop_
_space_group_symop_operation_xyz
'x,y,z'
'y,-x,-z'
'-x,-y,z'
'-y,x,-z'
'-x,y,z'
'-y,-x,-z'
'x,-y,z'
'y,x,-z'
loop_
_atom_site_label
_atom_site_type_symbol
_atom_site_fract_x
_atom_site_fract_y
_atom_site_fract_z
Ce1 Ce 0.000 0.500 0.248
Be1 Be 0.000 0.000 0.500
Be2 Be 0.000 0.500 0.877
Be3 Be 0.500 0.500 0.500
Si1 Si 0.000 0.000 0.000
Si2 Si 0.000 0.500 0.633
Ni1 Ni 0.500 0.500 0.000
```

# ScBe8Ni3

A geometry-optimized ScBe8Ni3 structure (PBE, the Alexandria database).

Results
As for the calculated formation energy: -271 meV per atom. Its volume is 9.4 Å³ per atom. The value obtained for the density of states at the Fermi level is 4.198 states/eV/f.u. For the total energy, the calculation gives -56.74 eV/f.u.

CIF file:
```
data_ScBe8Ni3
_chemical_formula_sum 'Sc1 Be8 Ni3'
_space_group_name_H-M_alt 'P 3 m 1'
_space_group_IT_number 156
_cell_length_a 4.3002
_cell_length_b 4.3002
_cell_length_c 7.0783
_cell_angle_alpha 90.00
_cell_angle_beta 90.00
_cell_angle_gamma 120.00
loop_
_space_group_symop_operation_xyz
'x,y,z'
'-y,x-y,z'
'-x+y,-x,z'
'-y,-x,z'
'-x+y,y,z'
'x,x-y,z'
loop_
_atom_site_label
_atom_site_type_symbol
_atom_site_fract_x
_atom_site_fract_y
_atom_site_fract_z
Sc1 Sc 0.0000 0.0000 0.0000
Be1 Be 0.1659 0.3317 0.6746
Be2 Be 0.3333 0.6667 0.4432
Be3 Be 0.3333 0.6667 0.9301
Be4 Be 0.5026 0.0052 0.2102
Ni1 Ni 0.0000 0.0000 0.3719
Ni2 Ni 0.6667 0.3333 0.4985
Ni3 Ni 0.6667 0.3333 0.8779
```

# Na2YTcPb

A geometry-optimized Na2YTcPb structure (PBE, the Alexandria database).

Results
As for the calculated formation energy: 926 meV per atom. Its volume is 30.0 Å³ per atom. The value obtained for the density of states at the Fermi level is 5.354 states/eV/f.u. For the total energy, the calculation gives -18.55 eV/f.u.

CIF file:
```
data_Na2YTcPb
_chemical_formula_sum 'Na2 Y1 Tc1 Pb1'
_space_group_name_H-M_alt 'P 4/m m m'
_space_group_IT_number 123
_space_group_name_Hall '-P 4 2'
_cell_length_a 5.319
_cell_length_b 5.319
_cell_length_c 5.304
_cell_angle_alpha 90.00
_cell_angle_beta 90.00
_cell_angle_gamma 90.00
loop_
_atom_site_label
_atom_site_type_symbol
_atom_site_fract_x
_atom_site_fract_y
_atom_site_fract_z
Na1 Na 0.000 0.500 0.000
Y1 Y 0.000 0.000 0.500
Tc1 Tc 0.500 0.500 0.500
Pb1 Pb 0.500 0.500 0.000
```